(1)
This record from Alexandria describes an optimized crystal structure of MoRuBr. The functional is PBE.

Properties
- space group = P3m1 (156)

Unit cell a=3.0036 b=3.0036 c=6.4621 alpha=90.00 beta=90.00 gamma=120.00
With the nearest neighbours (Å) after each atom.
Fractional coordinates of all 3 atoms:
Br 0.0000 0.0000 0.0182  3 Mo 2.71, 3 Ru 2.99, 6 Br 3.00
Ru 0.6667 0.3333 0.6422  3 Mo 2.61
Mo 0.3333 0.6667 0.3396  3 Ru 2.61, 3 Br 2.71

(2)
This record from Alexandria describes an optimized crystal structure of MoRuBr. The functional is PBE.

Properties
- space group = F-43m (216)

Unit cell a=4.2865 b=4.2865 c=4.2865 alpha=60.00 beta=60.00 gamma=60.00
With the nearest neighbours (Å) after each atom.
Fractional coordinates of all 3 atoms:
Mo 0.7500 0.7500 0.7500  4 Br 2.62, 4 Ru 2.62
Br 0.5000 0.5000 0.5000  4 Mo 2.62
Ru 0.0000 0.0000 0.0000  4 Mo 2.62

(3)
This record from Alexandria describes an optimized crystal structure of MoRuBr. The functional is PBE.

Properties
- space group = I4mm (107)

Unit cell a=5.9487 b=5.9488 c=3.0034 alpha=75.38 beta=75.38 gamma=29.24
With the nearest neighbours (Å) after each atom.
Fractional coordinates of all 3 atoms:
Mo 0.3244 0.3244 0.6756  4 Ru 2.64, 4 Br 2.82
Br 0.9917 0.9917 0.0083  4 Mo 2.82, 4 Br 3.00, 4 Ru 3.01
Ru 0.6839 0.6839 0.3161  4 Mo 2.64

Top of the stability list: (3), leading by 0.025 eV/atom.

(1)
This record from Alexandria describes an optimized crystal structure of MoRu2Br. The functional is PBE.

Properties
- space group = F-43m (216)

Unit cell a=4.4366 b=4.4366 c=4.4366 alpha=60.00 beta=60.00 gamma=60.00
With the nearest neighbours (Å) after each atom.
Fractional coordinates of all 4 atoms:
Ru 0.0000 0.0000 0.0000  4 Mo 2.72, 4 Ru 2.72
Ru 0.2500 0.2500 0.2500  4 Ru 2.72, 4 Br 2.72
Br 0.5000 0.5000 0.5000  4 Ru 2.72, 4 Mo 2.72
Mo 0.7500 0.7500 0.7500  4 Br 2.72, 4 Ru 2.72

(2)
This record from Alexandria describes an optimized crystal structure of MoRu2Br. The functional is PBE.

Properties
- space group = Fm-3m (225)

Unit cell a=4.4828 b=4.4828 c=4.4828 alpha=60.00 beta=60.00 gamma=60.00
With the nearest neighbours (Å) after each atom.
Fractional coordinates of all 4 atoms:
Ru 0.2500 0.2500 0.2500  4 Mo 2.75, 4 Br 2.75
Ru 0.7500 0.7500 0.7500  4 Mo 2.75, 4 Br 2.75
Br 0.0000 0.0000 0.0000  8 Ru 2.75
Mo 0.5000 0.5000 0.5000  8 Ru 2.75

(3)
This record from Alexandria describes an optimized crystal structure of MoRu2Br. The functional is PBE.

Properties
- space group = Cmm2 (35)

Unit cell a=2.8505 b=2.8505 c=9.1813 alpha=90.00 beta=90.00 gamma=118.45
With the nearest neighbours (Å) after each atom.
Fractional coordinates of all 4 atoms:
Mo 0.5000 0.5000 0.7631  2 Ru 2.60, 2 Br 2.81, 4 Mo 2.85
Br 0.0000 0.0000 0.5014  2 Mo 2.81, 2 Ru 2.83, 6 Br 2.85-2.92
Ru 0.0000 0.0000 0.9979  2 Mo 2.60, 6 Ru 2.64-2.85
Ru 0.5000 0.5000 0.2376  8 Ru 2.64-2.92, 2 Br 2.83

(4)
This record from Alexandria describes an optimized crystal structure of MoRu2Br. The functional is PBE.

Properties
- space group = Cmmm (65)

Unit cell a=2.8642 b=2.8642 c=9.0730 alpha=90.00 beta=90.00 gamma=114.56
With the nearest neighbours (Å) after each atom.
Fractional coordinates of all 4 atoms:
Br 0.5000 0.5000 0.2500  6 Br 2.86-3.10, 4 Ru 2.96
Mo 0.5000 0.5000 0.7500  4 Ru 2.54
Ru 0.0000 0.0000 0.5283  2 Mo 2.54
Ru 0.0000 0.0000 0.9717  2 Mo 2.54

Top of the stability list: (4), leading by 0.156 eV/atom.

(1)
This record from Alexandria describes an optimized crystal structure of MoRu2Br. The functional is PBE.

Properties
- space group = C2/m (12)

Unit cell a=4.9870 b=4.9870 c=4.5601 alpha=87.52 beta=87.52 gamma=33.95
With the nearest neighbours (Å) after each atom.
Fractional coordinates of all 4 atoms:
Br 0.2500 0.2500 0.2500  2 Ru 2.52, 4 Mo 2.71
Mo 0.7500 0.7500 0.7500  4 Br 2.71, 6 Ru 2.75-2.87, 2 Mo 2.91
Ru 0.0254 0.0254 0.9777  1 Br 2.52, 2 Ru 2.60, 2 Mo 2.75
Ru 0.4746 0.4746 0.5223  1 Br 2.52, 2 Ru 2.60, 2 Mo 2.75

(2)
This record from Alexandria describes an optimized crystal structure of MoRu2Br. The functional is PBE.

Properties
- space group = I-42d (122)

Unit cell a=5.7688 b=5.7688 c=6.7035 alpha=64.51 beta=64.51 gamma=90.00
With the nearest neighbours (Å) after each atom.
Fractional coordinates of all 8 atoms:
Br 0.2500 0.7500 0.5000  4 Ru 2.48
Br 0.5000 0.5000 0.0000  4 Ru 2.48
Mo 0.7500 0.2500 0.5000  4 Ru 2.39
Mo 0.0000 0.0000 0.0000  4 Ru 2.39
Ru 0.1111 0.6250 0.2500  2 Mo 2.39, 2 Br 2.48
Ru 0.6389 0.1250 0.2500  2 Mo 2.39, 2 Br 2.48
Ru 0.3750 0.3611 0.7500  2 Mo 2.39, 2 Br 2.48
Ru 0.8750 0.8889 0.7500  2 Mo 2.39, 2 Br 2.48

(3)
This record from Alexandria describes an optimized crystal structure of MoRu2Br. The functional is PBE.

Properties
- space group = Imm2 (44)

Unit cell a=5.3314 b=5.3314 c=5.3314 alpha=147.55 beta=130.43 gamma=60.51
With the nearest neighbours (Å) after each atom.
Fractional coordinates of all 4 atoms:
Br 0.4978 0.4978 0.0000  2 Mo 2.60, 6 Ru 2.61-2.69
Ru 0.0046 0.0046 0.0000  4 Br 2.69, 2 Mo 2.84, 4 Ru 2.93-2.98
Ru 0.7305 0.2305 0.5000  2 Br 2.61, 4 Mo 2.71
Mo 0.2671 0.7671 0.5000  2 Br 2.60, 6 Ru 2.71-2.84

Top of the stability list: (1), leading by 0.081 eV/atom.

(1)
This record from Alexandria describes an optimized crystal structure of MoRu2Br. The functional is PBE.

Properties
- space group = P2/m (10)

Unit cell a=4.0962 b=2.9317 c=5.4035 alpha=73.19 beta=90.00 gamma=90.00
With the nearest neighbours (Å) after each atom.
Fractional coordinates of all 4 atoms:
Mo 0.5000 0.7500 0.7500  2 Br 2.68, 8 Ru 2.82-2.84, 2 Mo 2.93
Ru 0.0000 0.1245 0.9991  2 Br 2.54, 1 Ru 2.58, 4 Mo 2.82-2.84
Ru 0.0000 0.3755 0.5009  2 Br 2.54, 1 Ru 2.58, 4 Mo 2.82-2.84
Br 0.5000 0.2500 0.2500  4 Ru 2.54, 2 Mo 2.68

(2)
This record from Alexandria describes an optimized crystal structure of MoRu2Br. The functional is PBE.

Properties
- space group = P4mm (99)

Unit cell a=2.9421 b=2.9421 c=7.1956 alpha=90.00 beta=90.00 gamma=90.00
With the nearest neighbours (Å) after each atom.
Fractional coordinates of all 4 atoms:
Ru 0.0000 0.0000 0.9943  4 Mo 2.69, 8 Ru 2.75-2.94
Ru 0.5000 0.5000 0.2436  8 Ru 2.75-2.94, 4 Br 2.80
Br 0.0000 0.0000 0.5040  4 Mo 2.77, 4 Ru 2.80, 4 Br 2.94
Mo 0.5000 0.5000 0.7581  4 Ru 2.69, 4 Br 2.77, 4 Mo 2.94

Top of the stability list: (2), leading by 0.036 eV/atom.

(1)
This record from Alexandria describes an optimized crystal structure of MoRu2Br. The functional is PBE.

Properties
- space group = R3m (160)

Unit cell a=8.8811 b=8.8811 c=8.8811 alpha=18.76 beta=18.76 gamma=18.76
With the nearest neighbours (Å) after each atom.
Fractional coordinates of all 4 atoms:
Ru 0.7456 0.7456 0.7456  9 Ru 2.64-2.89, 3 Br 2.92
Ru 0.0009 0.0009 0.0009  9 Ru 2.64-2.89, 3 Mo 2.77
Br 0.5038 0.5038 0.5038  3 Mo 2.67, 6 Br 2.89, 3 Ru 2.92
Mo 0.2499 0.2499 0.2499  3 Br 2.67, 3 Ru 2.77, 6 Mo 2.89

(2)
This record from Alexandria describes an optimized crystal structure of MoRu2Br. The functional is PBE.

Properties
- space group = P4/mmm (123)

Unit cell a=2.9246 b=4.6431 c=4.6431 alpha=90.00 beta=90.00 gamma=90.00
With the nearest neighbours (Å) after each atom.
Fractional coordinates of all 4 atoms:
Mo 0.5000 0.0000 0.5000  8 Ru 2.74, 2 Mo 2.92
Br 0.5000 0.5000 0.0000  8 Ru 2.74, 2 Br 2.92
Ru 0.0000 0.5000 0.5000  4 Mo 2.74, 4 Br 2.74, 2 Ru 2.92
Ru 0.0000 0.0000 0.0000  4 Mo 2.74, 4 Br 2.74, 2 Ru 2.92

(3)
This record from Alexandria describes an optimized crystal structure of MoRu2Br. The functional is PBE.

Properties
- space group = Cm (8)

Unit cell a=5.1417 b=5.1417 c=4.4274 alpha=87.35 beta=87.35 gamma=33.56
With the nearest neighbours (Å) after each atom.
Fractional coordinates of all 4 atoms:
Ru 0.2803 0.2803 0.2106  1 Br 2.50, 2 Mo 2.55
Ru 0.0112 0.0112 0.0194  4 Br 2.58-2.76, 2 Mo 2.69, 3 Ru 2.81-2.82
Br 0.4929 0.4929 0.4972  5 Ru 2.50-2.76, 1 Mo 2.56
Mo 0.7155 0.7155 0.7727  4 Ru 2.55-2.69, 1 Br 2.56

(4)
This record from Alexandria describes an optimized crystal structure of MoRu2Br. The functional is PBE.

Properties
- space group = I4/mmm (139)

Unit cell a=4.7862 b=4.7862 c=4.7862 alpha=130.33 beta=130.33 gamma=72.89
With the nearest neighbours (Å) after each atom.
Fractional coordinates of all 4 atoms:
Ru 0.0000 0.0000 0.0000  4 Mo 2.78, 4 Br 2.78, 4 Ru 2.84
Ru 0.5000 0.5000 0.0000  4 Br 2.78, 4 Mo 2.78, 4 Ru 2.84
Br 0.2500 0.7500 0.5000  8 Ru 2.78, 4 Mo 2.84
Mo 0.7500 0.2500 0.5000  8 Ru 2.78, 4 Br 2.84

Top of the stability list: (1), leading by 0.114 eV/atom.